i.
A relaxed structure of MgNbAs2Se. Source: Alexandria via LeMat-Bulk, functional GGA-PBE.

Cell: 4.801 4.801 4.924 Å, 90.00 90.00 90.00°
Element x y z (fractional)
1 Mg 0.000 0.000 0.000
2 Nb 0.500 0.500 0.500
3 As 0.000 0.500 0.000
4 As 0.500 0.000 0.000
5 Se 0.000 0.000 0.500

## Properties
Calculated volume, Å³ per cell: 113.5
Density, g/cm3: 5.06
Magnetization, Bohr magnetons per cell: 0.00

ii.
A relaxed structure of MgNbAs2Se. Source: Alexandria via LeMat-Bulk, functional GGA-PBE.

Cell: 5.062 5.062 4.995 Å, 90.00 90.00 90.00°
Element x y z (fractional)
1 Mg 0.000 0.000 0.000
2 Nb 0.500 0.500 0.500
3 As 0.000 0.500 0.500
4 As 0.500 0.000 0.500
5 Se 0.500 0.500 0.000

## Properties
Calculated volume, Å³ per cell: 128.0
Density, g/cm3: 4.49
Magnetization, Bohr magnetons per cell: 0.00

Least stable of them? i.

i.
A relaxed structure of Mg3NiAs. Source: Alexandria via LeMat-Bulk, functional GGA-PBE.

Cell: 4.734 4.734 4.734 Å, 90.00 90.00 90.00°
Element x y z (fractional)
1 Mg 0.000 0.000 0.500
2 Mg 0.000 0.500 0.000
3 Mg 0.500 0.000 0.000
4 Ni 0.000 0.000 0.000
5 As 0.500 0.500 0.500

## Properties
Calculated volume, Å³ per cell: 106.1
Density, g/cm3: 3.23
Magnetization, Bohr magnetons per cell: 0.00

ii.
A relaxed structure of Mg3NiAs. Source: Alexandria via LeMat-Bulk, functional GGA-PBE.

Cell: 4.930 4.930 4.930 Å, 90.00 90.00 90.00°
Element x y z (fractional)
1 Mg 0.000 0.000 0.500
2 Mg 0.000 0.500 0.000
3 Mg 0.500 0.000 0.000
4 Ni 0.500 0.500 0.500
5 As 0.000 0.000 0.000

## Properties
Calculated volume, Å³ per cell: 119.9
Density, g/cm3: 2.86
Magnetization, Bohr magnetons per cell: 0.00

Least stable of them? ii.

i.
A relaxed structure of MgNi3As2. Source: Alexandria via LeMat-Bulk, functional GGA-PBE.

Cell: 8.029 8.029 9.314 Å, 105.79 105.79 26.65°
Element x y z (fractional)
1 Mg 0.000 0.000 0.000
2 Mg 0.162 0.162 0.707
3 Mg 0.838 0.838 0.293
4 Ni 0.044 0.044 0.324
5 Ni 0.219 0.219 0.388
6 Ni 0.317 0.317 0.034
7 Ni 0.390 0.390 0.812
8 Ni 0.500 0.500 0.500
9 Ni 0.610 0.610 0.188
10 Ni 0.683 0.683 0.966
11 Ni 0.781 0.781 0.612
12 Ni 0.956 0.956 0.676
13 As 0.194 0.194 0.131
14 As 0.362 0.362 0.542
15 As 0.455 0.455 0.217
16 As 0.545 0.545 0.783
17 As 0.638 0.638 0.458
18 As 0.806 0.806 0.869

## Properties
Calculated volume, Å³ per cell: 258.5
Density, g/cm3: 6.75
Magnetization, Bohr magnetons per cell: 0.00

ii.
A relaxed structure of MgNi3As2. Source: Alexandria via LeMat-Bulk, functional GGA-PBE.

Cell: 7.670 7.670 6.258 Å, 108.55 108.55 29.17°
Element x y z (fractional)
1 Mg 0.119 0.119 0.146
2 Mg 0.881 0.881 0.854
3 Ni 0.075 0.075 0.680
4 Ni 0.310 0.310 0.095
5 Ni 0.355 0.355 0.517
6 Ni 0.645 0.645 0.483
7 Ni 0.690 0.690 0.905
8 Ni 0.925 0.925 0.320
9 As 0.235 0.235 0.700
10 As 0.488 0.488 0.221
11 As 0.512 0.512 0.779
12 As 0.765 0.765 0.300

## Properties
Calculated volume, Å³ per cell: 169.5
Density, g/cm3: 6.86
Magnetization, Bohr magnetons per cell: 0.00

Least stable of them? ii.